# Tb4InTe2P PBE optimized geometry
# raw formation energy	-1.162	eV/atom
# final energy	-5.281	eV per atom
# mass density	7.6	Mg/m³
data_Tb4InTe2P
_chemical_formula_sum 'Tb4 In1 Te2 P1'
_cell_length_a 7.518
_cell_length_b 4.188
_cell_length_c 7.530
_cell_angle_alpha 90.00
_cell_angle_beta 108.27
_cell_angle_gamma 90.00
_symmetry_space_group_name_H-M 'P 1 2/m 1'
_symmetry_Int_Tables_number 10
loop_
_symmetry_equiv_pos_as_xyz
'x,y,z'
'-x,-y,-z'
'-x,y,-z'
'x,-y,z'
loop_
_atom_site_label
_atom_site_fract_x
_atom_site_fract_y
_atom_site_fract_z
Tb1 0.227 0.000 0.219
Tb2 0.242 0.500 0.764
In1 0.500 0.000 0.000
Te1 0.000 0.000 0.500
Te2 0.500 0.500 0.500
P1 0.000 0.500 0.000